First-principles (PBE) data for a relaxed PaBiSb2 crystal, as listed in Alexandria.

Lattice parameters (Å, degrees): 5.4156 6.2455 8.0062 112.96 109.77 90.00
Atoms (fractional coordinates):
Pa1 0.6626 0.6626 0.3252
Pa2 0.7977 0.2977 0.5955
Sb1 0.4207 0.4207 0.8413
Sb2 0.0396 0.5396 0.0793
Sb3 0.2302 0.9801 0.4603
Sb4 0.2302 0.4802 0.4603
Bi1 0.9091 0.9091 0.8182
Bi2 0.5512 0.0512 0.1025

Properties
Raw total energy: -44.30 eV/cell
ΔE_f (raw): -0.1323 eV per atom
Size of the total moment: 0.6 μB/f.u.
Density: 9788 kg/m³